The following is a DFT calculation (PBE with a Hubbard U) of a relaxed KVOF4 crystal.

Lattice parameters (Å, degrees): 14.037 5.610 5.670 84.88 90.00 90.00
Sites, in units of the cell vectors:
F 0.258 0.911 0.917
F 0.242 0.411 0.917
K 0.623 0.946 0.723
K 0.377 0.054 0.277
V 0.647 0.437 0.212
O 0.410 0.336 0.709
O 0.590 0.664 0.291
F 0.217 0.160 0.522
F 0.436 0.811 0.704
F 0.283 0.660 0.522
F 0.783 0.840 0.478
F 0.609 0.424 0.904
V 0.853 0.937 0.212
F 0.758 0.589 0.083
O 0.090 0.836 0.709
F 0.391 0.576 0.096
V 0.353 0.563 0.788
F 0.936 0.689 0.296
F 0.109 0.076 0.096
K 0.877 0.446 0.723
F 0.742 0.089 0.083
F 0.717 0.340 0.478
K 0.123 0.554 0.277
F 0.891 0.924 0.904
O 0.910 0.164 0.291
V 0.147 0.063 0.788
F 0.564 0.189 0.296
F 0.064 0.311 0.704

The following is a DFT calculation (PBE with a Hubbard U) of a relaxed K2VO2F3 crystal.

Lattice parameters (Å, degrees): 5.763 7.505 11.571 90.00 90.00 90.00
Sites, in units of the cell vectors:
O 0.477 0.821 0.612
F 0.750 0.966 0.194
K 0.250 0.474 0.283
F 0.000 0.000 0.000
O 0.023 0.321 0.888
K 0.750 0.026 0.783
V 0.750 0.800 0.070
V 0.750 0.300 0.430
O 0.477 0.321 0.888
K 0.250 0.184 0.587
F 0.750 0.230 0.591
V 0.250 0.200 0.930
O 0.523 0.179 0.388
F 0.250 0.270 0.091
O 0.977 0.179 0.388
F 0.500 0.000 0.000
K 0.250 0.974 0.217
F 0.250 0.034 0.806
O 0.023 0.821 0.612
F 0.250 0.770 0.409
K 0.750 0.316 0.087
F 0.750 0.466 0.306
K 0.750 0.816 0.413
V 0.250 0.700 0.570
F 0.000 0.500 0.500
F 0.750 0.730 0.909
F 0.500 0.500 0.500
K 0.750 0.526 0.717
O 0.977 0.679 0.112
F 0.250 0.534 0.694
O 0.523 0.679 0.112
K 0.250 0.684 0.913

The following is a DFT calculation (PBE with a Hubbard U) of a relaxed KVO2F crystal.

Lattice parameters (Å, degrees): 3.823 3.823 4.257 90.00 90.00 90.00
Each line ends with the local moment (μB).
Sites, in units of the cell vectors:
V 0.000 0.000 0.000  1.27
O 0.500 0.000 0.000  -0.16
O 0.000 0.500 0.000  -0.16
K 0.500 0.500 0.500  0.00
F 0.000 0.000 0.500  0.01

The following is a DFT calculation (PBE with a Hubbard U) of a relaxed K5VO4F2 crystal.

Lattice parameters (Å, degrees): 6.281 5.911 7.630 90.00 90.00 122.09
Sites, in units of the cell vectors:
O 0.577 0.000 0.186
K 0.715 0.627 0.763
K 0.088 0.373 0.237
F 0.374 0.418 0.500
K 0.715 0.627 0.237
O 0.388 0.282 0.000
F 0.956 0.582 0.500
O 0.105 0.718 0.000
K 0.412 0.000 0.500
O 0.577 0.000 0.814
K 0.088 0.373 0.763
V 0.411 0.000 0.000

The following is a DFT calculation (PBE with a Hubbard U) of a relaxed KVO2F crystal.

Lattice parameters (Å, degrees): 4.355 4.355 4.444 90.00 90.00 90.00
Each line ends with the local moment (μB).
Sites, in units of the cell vectors:
O 0.000 0.500 0.000  0.01
V 0.500 0.500 0.500  -2.72
K 0.000 0.000 0.000  -0.07
O 0.500 0.000 0.000  0.01
F 0.000 0.000 0.500  0.04

The following is a DFT calculation (PBE with a Hubbard U) of a relaxed K3W2O4F6 crystal.

Lattice parameters (Å, degrees): 8.290 8.290 8.697 73.14 73.14 91.53
Each line ends with the local moment (μB).
Sites, in units of the cell vectors:
F 0.261 0.389 0.373  0.00
K 0.500 0.500 0.000  0.00
K 0.500 0.500 0.500  0.00
W 0.567 0.980 0.136  0.49
F 0.977 0.806 0.656  0.00
W 0.433 0.020 0.864  0.49
W 0.980 0.567 0.636  0.49
W 0.020 0.433 0.364  0.49
F 0.150 0.504 0.114  0.00
K 0.047 0.254 0.998  0.00
O 0.341 0.938 0.113  0.01
O 0.544 0.174 0.183  -0.03
K 0.746 0.953 0.502  0.00
F 0.850 0.496 0.886  0.00
K 0.254 0.047 0.498  0.00
F 0.806 0.977 0.156  0.00
F 0.496 0.850 0.386  0.00
F 0.194 0.023 0.844  0.00
F 0.504 0.150 0.614  0.00
K 0.953 0.746 0.002  0.00
F 0.023 0.194 0.344  0.00
O 0.938 0.341 0.613  0.01
F 0.389 0.261 0.873  0.00
O 0.174 0.544 0.683  -0.03
O 0.659 0.062 0.887  0.01
O 0.456 0.826 0.817  -0.03
O 0.062 0.659 0.387  0.01
F 0.611 0.739 0.127  0.00
F 0.739 0.611 0.627  0.00
O 0.826 0.456 0.317  -0.03

The following is a DFT calculation (PBE with a Hubbard U) of a relaxed K2WO2F4 crystal.

Lattice parameters (Å, degrees): 4.832 6.002 6.002 58.15 87.79 87.79
Sites, in units of the cell vectors:
K 0.182 0.677 0.677
F 0.269 0.173 0.687
F 0.731 0.313 0.827
W 0.500 0.000 0.000
O 0.288 0.150 0.150
O 0.712 0.850 0.850
F 0.731 0.827 0.313
F 0.269 0.687 0.173
K 0.818 0.323 0.323

| no. | spin magnetization (μB/cell) | final energy (eV per atom) |
| --- | --- | --- |
| 1 | 0.24 | -5.598 |
| 2 | 0.00 | -5.620 |
| 3 | 1.00 | -6.227 |
| 4 | 0.18 | -5.232 |
| 5 | 3.00 | -3.773 |
| 6 | 2.00 | -5.753 |
| 7 | 0.07 | -5.462 |